1.
Computed, not measured: ZrCr2Sb at its PBEsol-relaxed geometry at the SCAN level of DFT.

Computed properties:
Volume: 64.88 Å³ per cell
Raw total energy: -26.138 eV/atom
D(E_F): 0.549 states/eV per atom
E_form (uncorrected): 0.04 eV per atom

a = 3.283 Å, b = 3.283 Å, c = 6.018 Å
α = 90.00°, β = 90.00°, γ = 90.00°
Atoms (fractional coordinates):
Zr (0.000, 0.000, 0.000)
Cr (0.500, 0.500, 0.259)
Cr (0.500, 0.500, 0.741)
Sb (0.000, 0.000, 0.500)


2.
Computed, not measured: ZrCrSb2 at its PBEsol-relaxed geometry at the SCAN level of DFT.

Computed properties:
Volume: 78.43 Å³ per cell
ΔE to the lowest computed polymorph: 110 meV/atom
Raw total energy: -30.968 eV/atom
D(E_F): 0.240 states/eV per atom
E_form (uncorrected): -0.07 eV per atom

a = 3.516 Å, b = 3.516 Å, c = 6.343 Å
α = 90.00°, β = 90.00°, γ = 90.00°
Atoms (fractional coordinates):
Zr (0.000, 0.000, 0.000)
Cr (0.500, 0.500, 0.265)
Sb (0.000, 0.000, 0.453)
Sb (0.500, 0.500, 0.782)